Here is crystalline Fe3SiBi at its relaxed geometry from Alexandria via LeMat-Bulk. Energies are from GGA-PBE.

Unit cell a=4.2570 b=4.2570 c=4.2570 alpha=90.00 beta=90.00 gamma=90.00
Last column: nearest neighbours and their distance in Å.
Space group Pm-3m (No. 221)
Unique sites:
Fe1 0.0000 0.0000 0.5000 [3 per cell]  2 Si 2.13
Si1 0.0000 0.0000 0.0000 [1 per cell]  6 Fe 2.13
Bi1 0.5000 0.5000 0.5000 [1 per cell]  12 Fe 3.01

Total moment: 0.000 μB per atom
Distance to the lowest polymorph of the same formula: 0.0000 eV per atom
Fermi-level density of states: 14.7 states/eV per cell
Formation energy from raw total energies: 0.76 eV/atom

=====

Here is crystalline Fe2Si2Bi at its relaxed geometry from Alexandria via LeMat-Bulk. Energies are from GGA-PBE.

Unit cell a=3.5525 b=3.5525 c=11.6632 alpha=90.00 beta=90.00 gamma=90.00
Last column: nearest neighbours and their distance in Å.
Space group I4/mmm (No. 139)
Unique sites:
Fe1 0.0000 0.0000 0.1204 [4 per cell]  4 Si 2.33
Si1 0.0000 0.5000 0.2500 [4 per cell]  4 Fe 2.33, 4 Si 2.51
Bi1 0.0000 0.0000 0.5000 [2 per cell]  8 Fe 2.88

Total moment: 0.000 μB per atom
Fermi-level density of states: 6.4 states/eV per cell
Formation energy from raw total energies: -0.04 eV/atom

=====

Here is crystalline FeSi2Bi at its relaxed geometry from Alexandria via LeMat-Bulk. Energies are from GGA-PBE.

Unit cell a=4.6839 b=4.6839 c=14.7980 alpha=90.00 beta=90.00 gamma=90.00
Last column: nearest neighbours and their distance in Å.
Space group I-42d (No. 122)
Unique sites:
Fe1 0.0000 0.0000 0.0000 [4 per cell]  4 Si 2.23
Si1 0.0884 0.2500 0.1250 [8 per cell]  2 Fe 2.23, 2 Si 2.48
Bi1 0.0000 0.0000 0.5000 [4 per cell]  4 Si 2.92

Total moment: 0.000 μB per atom
Fermi-level density of states: 14.9 states/eV per cell
Formation energy from raw total energies: 0.33 eV/atom

=====

Here is crystalline Fe3SiBi at its relaxed geometry from Alexandria via LeMat-Bulk. Energies are from GGA-PBE.

Unit cell a=4.8624 b=4.8624 c=4.8624 alpha=90.00 beta=90.00 gamma=90.00
Last column: nearest neighbours and their distance in Å.
Space group Pm-3m (No. 221)
Unique sites:
Fe1 0.0000 0.0000 0.5000 [3 per cell]  2 Bi 2.43
Si1 0.5000 0.5000 0.5000 [1 per cell]  12 Fe 3.44
Bi1 0.0000 0.0000 0.0000 [1 per cell]  6 Fe 2.43

Total moment: 1.503 μB per atom
Distance to the lowest polymorph of the same formula: 0.9838 eV per atom
Fermi-level density of states: 7.6 states/eV per cell
Formation energy from raw total energies: 1.75 eV/atom

=====

Here is crystalline FeSi3Bi at its relaxed geometry from Alexandria via LeMat-Bulk. Energies are from GGA-PBE.

Unit cell a=4.5134 b=4.5134 c=4.5134 alpha=90.00 beta=90.00 gamma=90.00
Last column: nearest neighbours and their distance in Å.
Space group Pm-3m (No. 221)
Unique sites:
Fe1 0.0000 0.0000 0.0000 [1 per cell]  6 Si 2.26
Si1 0.0000 0.0000 0.5000 [3 per cell]  2 Fe 2.26
Bi1 0.5000 0.5000 0.5000 [1 per cell]  12 Si 3.19

Total moment: 0.000 μB per atom
Distance to the lowest polymorph of the same formula: 0.0000 eV per atom
Fermi-level density of states: 4.3 states/eV per cell
Formation energy from raw total energies: 0.37 eV/atom

=====

Here is crystalline Fe2SiBi2 at its relaxed geometry from Alexandria via LeMat-Bulk. Energies are from GGA-PBE.

Unit cell a=3.5031 b=3.5031 c=16.8241 alpha=90.00 beta=90.00 gamma=90.00
Last column: nearest neighbours and their distance in Å.
Space group I4/mmm (No. 139)
Unique sites:
Fe1 0.0000 0.5000 0.2500 [4 per cell]  4 Fe 2.48
Si1 0.0000 0.0000 0.0000 [2 per cell]  8 Bi 3.16, 4 Si 3.50
Bi1 0.0000 0.0000 0.3830 [4 per cell]  4 Fe 2.84, 4 Si 3.16

Total moment: 0.966 μB per atom
Distance to the lowest polymorph of the same formula: 0.0000 eV per atom
Fermi-level density of states: 8.4 states/eV per cell
Formation energy from raw total energies: 0.55 eV/atom

=====

Here is crystalline Fe2SiBi2 at its relaxed geometry from Alexandria via LeMat-Bulk. Energies are from GGA-PBE.

Unit cell a=8.1586 b=8.1586 c=3.1997 alpha=90.00 beta=90.00 gamma=90.00
Last column: nearest neighbours and their distance in Å.
Space group P4/mbm (No. 127)
Unique sites:
Fe1 0.0994 0.4006 0.0000 [4 per cell]  1 Fe 2.29
Si1 0.0000 0.0000 0.5000 [2 per cell]  4 Bi 2.98, 2 Si 3.20
Bi1 0.1839 0.6839 0.5000 [4 per cell]  6 Fe 2.89-2.97, 2 Si 2.98, 2 Bi 3.20

Total moment: 1.064 μB per atom
Distance to the lowest polymorph of the same formula: 0.1902 eV per atom
Fermi-level density of states: 9.4 states/eV per cell
Formation energy from raw total energies: 0.74 eV/atom

=====

Here is crystalline FeSiBiTe2 at its relaxed geometry from Alexandria via LeMat-Bulk. Energies are from GGA-PBE.

Unit cell a=5.9403 b=5.9403 c=5.3533 alpha=90.00 beta=90.00 gamma=90.00
Last column: nearest neighbours and their distance in Å.
Space group P4/mmm (No. 123)
Unique sites:
Fe1 0.0000 0.0000 0.0000 [1 per cell]  8 Te 4.00, 4 Si 4.20
Si1 0.5000 0.5000 0.0000 [1 per cell]  2 Bi 2.68
Bi1 0.5000 0.5000 0.5000 [1 per cell]  2 Si 2.68, 4 Te 2.97
Te1 0.0000 0.5000 0.5000 [2 per cell]  2 Bi 2.97

Total moment: 0.675 μB per atom
Fermi-level density of states: 4.4 states/eV per cell
Formation energy from raw total energies: 1.41 eV/atom

=====

Here is crystalline Sm8FeBi2 at its relaxed geometry from Alexandria via LeMat-Bulk. Energies are from GGA-PBE.

Unit cell a=18.3731 b=5.5040 c=6.8043 alpha=90.00 beta=108.78 gamma=90.00
Last column: nearest neighbours and their distance in Å.
Space group C2/m (No. 12)
Unique sites:
Sm1 0.0054 0.0000 0.2336 [4 per cell]  3 Sm 3.12-3.25, 2 Fe 3.16, 1 Bi 3.31
Sm2 0.0870 0.5000 0.7537 [4 per cell]  1 Fe 2.66
Sm3 0.1368 0.5000 0.3049 [4 per cell]  1 Fe 2.70
Sm4 0.2148 0.0000 0.1281 [4 per cell]  3 Bi 3.28-3.56, 3 Sm 3.47-3.49
Fe1 0.0000 0.5000 0.0000 [2 per cell]  4 Sm 2.66-2.70
Bi1 0.1698 0.0000 0.6202 [4 per cell]  10 Sm 3.28-3.66

Total moment: 0.000 μB per atom
Energy of formation: -0.229 eV per atom
Fermi-level density of states: 26.6 states/eV per cell

=====

Here is crystalline Sm6Fe2Bi at its relaxed geometry from Alexandria via LeMat-Bulk. Energies are from GGA-PBE.

Unit cell a=9.7705 b=10.0753 c=10.2297 alpha=90.00 beta=90.00 gamma=90.00
Last column: nearest neighbours and their distance in Å.
Space group Immm (No. 71)
Unique sites:
Sm1 0.0000 0.2196 0.2271 [8 per cell]  1 Fe 2.90, 1 Bi 3.21
Sm2 0.1987 0.5000 0.1875 [8 per cell]  3 Fe 2.87-2.94
Sm3 0.2121 0.3144 0.5000 [8 per cell]  2 Fe 2.99
Fe1 0.0000 0.3925 0.0000 [4 per cell]  1 Fe 2.17
Fe2 0.0000 0.5000 0.3948 [4 per cell]  1 Fe 2.15
Bi1 0.0000 0.0000 0.0000 [2 per cell]  8 Sm 3.21-3.38
Bi2 0.0000 0.0000 0.5000 [2 per cell]  12 Sm 3.51-3.79

Total moment: 0.149 μB per atom
Energy of formation: -0.155 eV per atom
Fermi-level density of states: 34.4 states/eV per cell

=====

Here is crystalline Sm12FeBi6 at its relaxed geometry from Alexandria via LeMat-Bulk. Energies are from GGA-PBE.

Unit cell a=13.4118 b=13.4118 c=12.5277 alpha=90.00 beta=90.00 gamma=120.00
Last column: nearest neighbours and their distance in Å.
Space group R-3 (No. 148, hexagonal axes)
Unique sites:
Sm1 0.0295 0.1890 0.3876 [18 per cell]  4 Bi 3.18-3.38
Sm2 0.0657 0.1864 0.8813 [18 per cell]  1 Fe 2.65
Fe1 0.0000 0.0000 0.0000 [3 per cell]  6 Sm 2.65
Bi1 0.0449 0.4239 0.3056 [18 per cell]  7 Sm 3.18-3.40

Total moment: 0.000 μB per atom
Energy of formation: -0.446 eV per atom
Fermi-level density of states: 46.0 states/eV per cell

=====

Here is crystalline FeSn3Bi at its relaxed geometry from Alexandria via LeMat-Bulk. Energies are from GGA-PBE.

Unit cell a=5.7973 b=5.7973 c=5.7973 alpha=90.00 beta=90.00 gamma=90.00
Last column: nearest neighbours and their distance in Å.
Space group Pm-3m (No. 221)
Unique sites:
Fe1 0.0000 0.0000 0.0000 [1 per cell]  12 Sn 4.10
Sn1 0.0000 0.5000 0.5000 [3 per cell]  2 Bi 2.90
Bi1 0.5000 0.5000 0.5000 [1 per cell]  6 Sn 2.90

Total moment: 0.658 μB per atom
Energy of formation: 1.412 eV per atom
Distance to the lowest polymorph of the same formula: 1.2454 eV per atom
Fermi-level density of states: 16.3 states/eV per cell

=====

Here is crystalline Fe2SnBi at its relaxed geometry from Alexandria via LeMat-Bulk. Energies are from GGA-PBE.

Unit cell a=6.6586 b=6.6586 c=6.6586 alpha=90.00 beta=90.00 gamma=90.00
Last column: nearest neighbours and their distance in Å.
Space group Fm-3m (No. 225)
Unique sites:
Fe1 0.2500 0.2500 0.2500 [8 per cell]  4 Sn 2.88, 4 Bi 2.88
Sn1 0.0000 0.0000 0.0000 [4 per cell]  8 Fe 2.88
Bi1 0.0000 0.0000 0.5000 [4 per cell]  8 Fe 2.88

Total moment: 1.180 μB per atom
Energy of formation: 0.516 eV per atom
Fermi-level density of states: 24.5 states/eV per cell